Record 1
Density functional theory data (PBE+U) for an optimized crystal structure of CaWF2.

Cell: 6.557 6.557 6.557 Å, 90.00 90.00 90.00°
Space group Fm-3m (No. 225)
Inequivalent atoms, fractional coordinates:
Ca  0.000  0.000  0.000 x4
W  0.000  0.000  0.500 x4
F  0.250  0.250  0.250 x8

## Properties
Its density of states at the Fermi level is 20.4 states/eV/cell. Its total energy is -4.305 eV/atom.

=====

Record 2
Density functional theory data (PBE+U) for an optimized crystal structure of CaWF3.

Cell: 4.441 4.441 4.441 Å, 90.00 90.00 90.00°
Space group Pm-3m (No. 221)
Inequivalent atoms, fractional coordinates:
Ca  0.000  0.000  0.000 x1
W  0.500  0.500  0.500 x1
F  0.000  0.000  0.500 x3

## Properties
Its density of states at the Fermi level is 2.9 states/eV/cell. Its total energy is -4.890 eV/atom.